DFT (GGA+U) results for an optimized crystal structure of NaTiWO6.

Computed properties:
The value obtained for the electronic total energy is -7.232 eV/atom. The calculated density comes out at 5.243 Mg/m³. As for the space-group type: P4_2nm (102).

a = 4.870 Å, b = 4.870 Å, c = 9.365 Å
α = 90.00°, β = 90.00°, γ = 90.00°
Positions (direct):
Na 0.000 0.000 0.000
Na 0.500 0.500 0.500
Ti 0.000 0.000 0.334
Ti 0.500 0.500 0.834
W 0.000 0.000 0.661
W 0.500 0.500 0.161
O 0.175 0.175 0.499
O 0.220 0.220 0.796
O 0.223 0.223 0.196
O 0.277 0.723 0.696
O 0.280 0.720 0.296
O 0.325 0.675 0.999
O 0.675 0.325 0.999
O 0.720 0.280 0.296
O 0.723 0.277 0.696
O 0.777 0.777 0.196
O 0.780 0.780 0.796
O 0.825 0.825 0.499